[1]
Ho5InOs: optimized geometry, PBE-GGA.

Cell: 5.934 5.934 11.681 Å, 77.60 77.60 78.38°
Atoms (fractional coordinates):
Ho (0.082, 0.418, 0.875)
Os (0.000, 0.000, 0.000)
Ho (0.582, 0.918, 0.625)
Ho (0.545, 0.208, 0.062)
Ho (0.418, 0.082, 0.375)
In (0.598, 0.402, 0.750)
Os (0.000, 0.000, 0.500)
Ho (0.792, 0.455, 0.438)
Ho (0.455, 0.792, 0.938)
Ho (0.006, 0.994, 0.750)
In (0.402, 0.598, 0.250)
Ho (0.994, 0.006, 0.250)
Ho (0.208, 0.545, 0.562)
Ho (0.918, 0.582, 0.125)

Values from the calculation:
The total magnetic moment is 0.00 μB/f.u. As for the uncorrected energy: -5.382 eV per atom. Its formation energy is -0.1165 eV/atom.

=====

[2]
Ho5In2Os: optimized geometry, PBE-GGA.

Cell: 4.953 6.681 12.575 Å, 90.00 90.00 90.00°
Atoms (fractional coordinates):
Ho (0.500, 0.830, 0.910)
Os (0.000, 0.000, 0.000)
In (0.500, 0.378, 0.845)
Ho (0.000, 0.887, 0.213)
Ho (0.000, 0.000, 0.500)
Ho (0.000, 0.613, 0.713)
In (0.500, 0.878, 0.655)
Ho (0.500, 0.330, 0.590)
In (0.500, 0.622, 0.155)
In (0.500, 0.122, 0.345)
Ho (0.000, 0.387, 0.287)
Os (0.000, 0.500, 0.500)
Ho (0.000, 0.500, 0.000)
Ho (0.000, 0.113, 0.787)
Ho (0.500, 0.670, 0.410)
Ho (0.500, 0.170, 0.090)

Values from the calculation:
The total magnetic moment is 0.00 μB/f.u. As for the uncorrected energy: -5.309 eV per atom. Its formation energy is -0.3591 eV/atom.

=====

[3]
Ho2InOs: optimized geometry, PBE-GGA.

Cell: 3.474 3.474 9.537 Å, 79.51 79.51 60.00°
Atoms (fractional coordinates):
In (0.500, 0.500, 0.500)
Ho (0.738, 0.738, 0.786)
Os (0.000, 0.000, 0.000)
Ho (0.262, 0.262, 0.214)

Values from the calculation:
The total magnetic moment is 0.00 μB/f.u. As for the uncorrected energy: -5.859 eV per atom. Its formation energy is -0.0776 eV/atom.

=====

[4]
Ho5InOs2: optimized geometry, PBE-GGA.

Cell: 7.711 7.711 8.717 Å, 116.25 116.25 90.00°
Atoms (fractional coordinates):
Ho (0.792, 0.972, 0.264)
Os (0.360, 0.860, 0.000)
In (0.250, 0.250, 0.500)
Ho (0.292, 0.792, 0.264)
Ho (0.500, 0.500, 0.000)
Ho (0.472, 0.292, 0.264)
Ho (0.528, 0.708, 0.736)
Ho (0.708, 0.208, 0.736)
In (0.750, 0.750, 0.500)
Ho (0.000, 0.000, 0.000)
Os (0.860, 0.640, 0.000)
Ho (0.972, 0.472, 0.264)
Os (0.640, 0.140, 0.000)
Os (0.140, 0.360, 0.000)
Ho (0.028, 0.528, 0.736)
Ho (0.208, 0.028, 0.736)

Values from the calculation:
The total magnetic moment is 0.00 μB/f.u. As for the uncorrected energy: -6.354 eV per atom. Its formation energy is -0.3428 eV/atom.

=====

[5]
HoInOs: optimized geometry, PBE-GGA.

Cell: 4.315 5.199 6.760 Å, 102.10 108.61 90.00°
Atoms (fractional coordinates):
Ho (0.872, 0.670, 0.745)
Os (0.220, 0.898, 0.441)
In (0.569, 0.786, 0.139)
Os (0.780, 0.102, 0.559)
Ho (0.128, 0.330, 0.255)
In (0.431, 0.214, 0.861)

Values from the calculation:
The total magnetic moment is 0.00 μB/f.u. As for the uncorrected energy: -6.363 eV per atom. Its formation energy is -0.1807 eV/atom.

=====

[6]
Ho3InOs: optimized geometry, PBE-GGA.

Cell: 5.248 6.979 8.464 Å, 112.76 90.00 112.09°
Atoms (fractional coordinates):
In (0.373, 0.745, 0.497)
Ho (0.931, 0.863, 0.765)
Ho (0.410, 0.820, 0.128)
Ho (0.225, 0.449, 0.734)
In (0.627, 0.255, 0.503)
Os (0.178, 0.356, 0.025)
Os (0.822, 0.644, 0.975)
Ho (0.069, 0.137, 0.235)
Ho (0.590, 0.180, 0.872)
Ho (0.775, 0.551, 0.266)

Values from the calculation:
The total magnetic moment is 0.00 μB/f.u. As for the uncorrected energy: -5.790 eV per atom. Its formation energy is -0.2493 eV/atom.